# GGA-PBE Ac2Ga3Ni12Ir, relaxed
# Magnetization (μB/f.u.): 0.0
# ΔE_f (eV/atom): -0.002
data_Ac2Ga3Ni12Ir
_space_group_name_H-M_alt 'R -3 m'
_space_group_IT_number 166
_space_group_name_Hall '-R 3 2"'
_cell_length_a 6.1445
_cell_length_b 6.1445
_cell_length_c 26.2330
_cell_angle_alpha 90.00
_cell_angle_beta 90.00
_cell_angle_gamma 120.00
loop_
_atom_site_label
_atom_site_fract_x
_atom_site_fract_y
_atom_site_fract_z
Ac1 0.0000 0.0000 0.1519
Ga1 0.0000 0.5000 0.0000
Ni1 0.0593 0.5297 0.0920
Ni2 0.0722 0.5361 0.6198
Ir1 0.0000 0.0000 0.5000